## Na2AuS (GGA-PBE)

Data for a geometry-optimized Na2AuS structure.

Lattice parameters (Å, degrees): 7.9867 7.9867 6.2915 50.60 50.60 90.00
Closest atoms and distances in Å follow each position.
Positions (direct):
Na (0.5839, 0.1250, 0.2500)  2 S 2.69, 2 Na 2.85
Na (0.1661, 0.6250, 0.2500)  2 S 2.69, 2 Na 2.85
Na (0.3750, 0.4161, 0.7500)  2 S 2.69, 2 Na 2.85
Na (0.8750, 0.8339, 0.7500)  2 S 2.69, 2 Na 2.85
S (0.5000, 0.5000, 0.0000)  4 Na 2.69, 2 Au 2.77
S (0.2500, 0.7500, 0.5000)  4 Na 2.69, 2 Au 2.77
Au (0.0000, 0.0000, 0.0000)  2 S 2.77
Au (0.7500, 0.2500, 0.5000)  2 S 2.77

Computed properties:
SG: No. 122
Density of states at the Fermi level (states/eV per atom): 0.2102
Size of the total moment (Bohr magnetons per cell): 0.00
E_form (uncorrected) (eV per formula unit): -1.71

***

## Nd2Zn3N4 (GGA-PBE)

Data for a geometry-optimized Nd2Zn3N4 structure.

Lattice parameters (Å, degrees): 5.4886 6.9100 6.9100 90.77 84.52 84.52
Closest atoms and distances in Å follow each position.
Positions (direct):
Nd (0.2902, 0.1763, 0.4487)  3 N 2.35-2.39
Nd (0.2098, 0.5513, 0.8237)  3 N 2.35-2.39
Nd (0.7098, 0.8237, 0.5513)  3 N 2.35-2.39
Nd (0.7902, 0.4487, 0.1763)  3 N 2.35-2.39
Zn (0.8719, 0.0317, 0.1840)  3 N 2.01-2.24
Zn (0.6281, 0.8160, 0.9683)  3 N 2.01-2.24
Zn (0.1281, 0.9683, 0.8160)  3 N 2.01-2.24
Zn (0.3719, 0.1840, 0.0317)  3 N 2.01-2.24
Zn (0.2500, 0.7166, 0.2834)  4 N 2.11-2.13
Zn (0.7500, 0.2834, 0.7166)  4 N 2.11-2.13
N (0.4912, 0.9377, 0.2273)  3 Zn 2.01-2.24
N (0.0088, 0.7727, 0.0623)  3 Zn 2.01-2.24
N (0.5088, 0.0623, 0.7727)  3 Zn 2.01-2.24
N (0.9912, 0.2273, 0.9377)  3 Zn 2.01-2.24
N (0.8581, 0.2147, 0.4210)  2 Zn 2.05-2.11
N (0.6419, 0.5790, 0.7853)  2 Zn 2.05-2.11
N (0.1419, 0.7853, 0.5790)  2 Zn 2.05-2.11
N (0.3581, 0.4210, 0.2147)  2 Zn 2.05-2.11

Computed properties:
SG: No. 15
Size of the total moment (Bohr magnetons per cell): 0.00
E_form (uncorrected) (eV per formula unit): -3.20

***

## LiSe3 (GGA-PBE)

Data for a geometry-optimized LiSe3 structure.

Lattice parameters (Å, degrees): 2.7513 2.7513 12.3885 90.00 90.00 90.01
Closest atoms and distances in Å follow each position.
Positions (direct):
Li (0.0000, 0.0000, 0.0000)  4 Li 2.75, 8 Se 2.80
Se (0.5000, 0.5000, 0.8378)  4 Se 2.75, 4 Li 2.80
Se (0.0000, 0.0000, 0.5000)  4 Se 2.75
Se (0.5000, 0.5000, 0.1622)  4 Se 2.75, 4 Li 2.80

Computed properties:
E above lowest polymorph (meV/atom): 174
SG: No. 123
Density of states at the Fermi level (states/eV per atom): 0.3081
Size of the total moment (Bohr magnetons per cell): 0.00
E_form (uncorrected) (eV per formula unit): -1.08

***

## InPb2Se4 (GGA-PBE)

Data for a geometry-optimized InPb2Se4 structure.

Lattice parameters (Å, degrees): 7.6351 6.1042 9.1826 90.00 105.90 90.00
Closest atoms and distances in Å follow each position.
Positions (direct):
In (0.2585, 0.7500, 0.1856)  4 Se 2.56-2.64
In (0.7415, 0.2500, 0.8144)  4 Se 2.56-2.64
Pb (0.7842, 0.7500, 0.0970)  4 Se 2.91-3.23
Pb (0.2158, 0.2500, 0.9030)  4 Se 2.91-3.23
Pb (0.2522, 0.2500, 0.4550)  7 Se 3.05-3.35
Pb (0.7478, 0.7500, 0.5450)  7 Se 3.05-3.35
Se (0.5354, 0.4768, 0.2767)  1 In 2.64, 1 Se 2.77
Se (0.0767, 0.7500, 0.9062)  1 In 2.56
Se (0.9233, 0.2500, 0.0938)  1 In 2.56
Se (0.5354, 0.0232, 0.2767)  1 In 2.64, 1 Se 2.77
Se (0.9327, 0.2500, 0.6169)  1 In 2.62, 1 Pb 2.91
Se (0.4646, 0.9768, 0.7233)  1 In 2.64, 1 Se 2.77
Se (0.4646, 0.5232, 0.7233)  1 In 2.64, 1 Se 2.77
Se (0.0673, 0.7500, 0.3831)  1 In 2.62, 1 Pb 2.91

Computed properties:
SG: No. 11
Density of states at the Fermi level (states/eV per atom): 0.2231
Size of the total moment (Bohr magnetons per cell): 0.00
E_form (uncorrected) (eV per formula unit): -2.77

***

## Ni5Te3 (GGA-PBE)

Data for a geometry-optimized Ni5Te3 structure.

Lattice parameters (Å, degrees): 5.7984 5.7984 3.9704 90.00 90.00 107.10
Closest atoms and distances in Å follow each position.
Positions (direct):
Ni (0.0000, 0.0000, 0.0000)  4 Te 2.66, 8 Ni 2.68-2.90
Ni (0.0000, 0.5000, 0.0000)  6 Te 2.69-2.90, 2 Ni 2.90
Ni (0.5000, 0.0000, 0.0000)  6 Te 2.69-2.90, 2 Ni 2.90
Ni (0.2622, 0.2622, 0.5000)  4 Te 2.53-2.57, 2 Ni 2.68
Ni (0.7378, 0.7378, 0.5000)  4 Te 2.53-2.57, 2 Ni 2.68
Te (0.5000, 0.5000, 0.0000)  4 Ni 2.57
Te (0.8094, 0.1906, 0.5000)  8 Ni 2.53-2.69
Te (0.1906, 0.8094, 0.5000)  8 Ni 2.53-2.69

Computed properties:
E above lowest polymorph (meV/atom): 68
SG: No. 65
Density of states at the Fermi level (states/eV per atom): 0.7532
Size of the total moment (Bohr magnetons per cell): 0.00
E_form (uncorrected) (eV per formula unit): 0.67

***

## LaTeS2Cl (GGA-PBE)

Data for a geometry-optimized LaTeS2Cl structure.

Lattice parameters (Å, degrees): 4.8980 5.2204 4.8980 90.00 90.00 90.00
Closest atoms and distances in Å follow each position.
Positions (direct):
Cl (0.0000, 0.0000, 0.0000)  4 S 2.45, 2 Te 2.61
S (0.0000, 0.0000, 0.5000)  2 Cl 2.45
S (0.5000, 0.0000, 0.0000)  2 Cl 2.45
Te (0.0000, 0.5000, 0.0000)  2 Cl 2.61
La (0.5000, 0.5000, 0.5000)  4 Te 3.46, 8 S 3.58

Computed properties:
E above lowest polymorph (meV/atom): 239
SG: No. 123
Density of states at the Fermi level (states/eV per atom): 0.1990
Size of the total moment (Bohr magnetons per cell): 0.00
E_form (uncorrected) (eV per formula unit): -1.48

***

## Ca2TeRh (GGA-PBE)

Data for a geometry-optimized Ca2TeRh structure.

Lattice parameters (Å, degrees): 6.7676 6.7661 6.7687 148.94 139.37 52.03
Closest atoms and distances in Å follow each position.
Positions (direct):
Ca (0.9991, 0.9994, 0.0003)  4 Rh 2.97-2.98, 2 Te 3.28
Ca (0.7097, 0.2097, 0.5000)  4 Te 3.21, 2 Rh 3.32-3.33, 2 Ca 3.48
Te (0.3109, 0.8106, 0.5001)  2 Rh 2.75
Rh (0.4803, 0.4803, 0.9996)  2 Te 2.75, 4 Ca 2.97-2.98

Computed properties:
SG: No. 44
Density of states at the Fermi level (states/eV per atom): 0.7613
Size of the total moment (Bohr magnetons per cell): 0.00
E_form (uncorrected) (eV per formula unit): -2.61

***

## Cr2TcSe (GGA-PBE)

Data for a geometry-optimized Cr2TcSe structure.

Lattice parameters (Å, degrees): 2.7201 2.7201 8.3155 90.00 90.00 112.91
Closest atoms and distances in Å follow each position.
Positions (direct):
Cr (0.0000, 0.0000, 0.0139)  2 Cr 2.34, 2 Tc 2.48
Cr (0.5000, 0.5000, 0.2301)  2 Cr 2.34, 2 Se 2.56
Se (0.0000, 0.0000, 0.4793)  2 Cr 2.56, 4 Se 2.72
Tc (0.5000, 0.5000, 0.7768)  2 Cr 2.48, 4 Tc 2.72

Computed properties:
SG: No. 35
Density of states at the Fermi level (states/eV per atom): 1.0176
Size of the total moment (Bohr magnetons per cell): 0.01
E_form (uncorrected) (eV per formula unit): 1.83

***

## Ti2PPt (GGA-PBE)

Data for a geometry-optimized Ti2PPt structure.

Lattice parameters (Å, degrees): 6.8834 6.8834 5.5803 51.92 51.92 90.00
Closest atoms and distances in Å follow each position.
Positions (direct):
P (0.5000, 0.5000, 0.0000)  4 Ti 2.45, 2 Pt 2.73
P (0.2500, 0.7500, 0.5000)  4 Ti 2.45, 2 Pt 2.73
Pt (0.0000, 0.0000, 0.0000)  4 Ti 2.61, 2 P 2.73
Pt (0.7500, 0.2500, 0.5000)  4 Ti 2.61, 2 P 2.73
Ti (0.6086, 0.1250, 0.2500)  2 P 2.45, 2 Pt 2.61, 2 Ti 2.74
Ti (0.1414, 0.6250, 0.2500)  2 P 2.45, 2 Pt 2.61, 2 Ti 2.74
Ti (0.3750, 0.3914, 0.7500)  2 P 2.45, 2 Pt 2.61, 2 Ti 2.74
Ti (0.8750, 0.8586, 0.7500)  2 P 2.45, 2 Pt 2.61, 2 Ti 2.74

Computed properties:
SG: No. 122
Total DFT energy (no corrections) (eV/cell): -59.18
Density of states at the Fermi level (states/eV per atom): 1.1858
Size of the total moment (Bohr magnetons per cell): 0.00

***

## KTm2AuS4 (GGA-PBE)

Data for a geometry-optimized KTm2AuS4 structure.

Lattice parameters (Å, degrees): 3.9862 7.0093 14.0235 90.00 90.00 106.52
Closest atoms and distances in Å follow each position.
Positions (direct):
K (0.1213, 0.2427, 0.7500)  6 S 3.05-3.29
K (0.8787, 0.7573, 0.2500)  6 S 3.05-3.29
Tm (0.3693, 0.7387, 0.5674)  6 S 2.71-2.82
Tm (0.6307, 0.2613, 0.0674)  6 S 2.71-2.82
Tm (0.6307, 0.2613, 0.4326)  6 S 2.71-2.82
Tm (0.3693, 0.7387, 0.9326)  6 S 2.71-2.82
Au (0.8396, 0.6792, 0.7500)  4 S 2.48-2.51
Au (0.1604, 0.3208, 0.2500)  4 S 2.48-2.51
S (0.2624, 0.5248, 0.1004)  1 Au 2.51, 3 Tm 2.71-2.76
S (0.7376, 0.4752, 0.6004)  1 Au 2.51, 3 Tm 2.71-2.76
S (0.7376, 0.4752, 0.8996)  1 Au 2.51, 3 Tm 2.71-2.76
S (0.2624, 0.5248, 0.3996)  1 Au 2.51, 3 Tm 2.71-2.76
S (0.0000, 0.0000, 0.5000)  4 Tm 2.82
S (0.0000, 0.0000, 0.0000)  4 Tm 2.82
S (0.4495, 0.8990, 0.7500)  2 Au 2.48, 2 Tm 2.78
S (0.5505, 0.1010, 0.2500)  2 Au 2.48, 2 Tm 2.78

Computed properties:
SG: No. 63
Size of the total moment (Bohr magnetons per cell): 0.00
E_form (uncorrected) (eV per formula unit): -12.20

***

## ZnCuOs2 (GGA-PBE)

Data for a geometry-optimized ZnCuOs2 structure.

Lattice parameters (Å, degrees): 2.7463 4.5526 4.5015 90.00 90.00 90.00
Closest atoms and distances in Å follow each position.
Positions (direct):
Cu (0.0000, 0.5000, 0.5000)  4 Os 2.64, 4 Zn 2.66, 2 Cu 2.75
Os (0.0000, 0.0000, 0.0000)  4 Zn 2.64, 6 Os 2.66-2.75
Os (0.5000, 0.5000, 0.0000)  4 Cu 2.64, 6 Os 2.66-2.75
Zn (0.5000, 0.0000, 0.5000)  4 Os 2.64, 4 Cu 2.66, 2 Zn 2.75

Computed properties:
SG: No. 47
Total DFT energy (no corrections) (eV/cell): -26.32
Density of states at the Fermi level (states/eV per atom): 1.1423
Size of the total moment (Bohr magnetons per cell): 0.00

***

## PuZrRh (GGA-PBE)

Data for a geometry-optimized PuZrRh structure.

Lattice parameters (Å, degrees): 3.0628 4.7193 4.7193 120.00 90.00 90.00
Closest atoms and distances in Å follow each position.
Positions (direct):
Rh (0.3557, 0.6667, 0.3333)  3 Pu 2.87, 3 Zr 2.94, 2 Rh 3.06
Zr (0.9910, 0.0000, 0.0000)  3 Pu 2.91, 3 Rh 2.94, 2 Zr 3.06
Pu (0.6533, 0.3333, 0.6667)  3 Rh 2.87, 3 Zr 2.91, 2 Pu 3.06

Computed properties:
E above lowest polymorph (meV/atom): 100
SG: No. 156
Density of states at the Fermi level (states/eV per atom): 2.3202
Size of the total moment (Bohr magnetons per cell): 5.23